DFT (GGA-PBE) results for a relaxed Nd2Sm3TmS6 crystal.

## Properties
- symmetry = C2/m (12)

Cell lengths 8.930, 8.930, 8.050 Å; angles 102.79, 102.79, 25.81 degrees
Element x y z (fractional)
Nd (0.168, 0.168, 0.336)
Nd (0.832, 0.832, 0.664)
Sm (0.170, 0.170, 0.833)
Sm (0.500, 0.500, 0.500)
Sm (0.830, 0.830, 0.167)
Tm (0.500, 0.500, 0.000)
S (0.002, 0.002, 0.763)
S (0.335, 0.335, 0.414)
S (0.339, 0.339, 0.923)
S (0.661, 0.661, 0.077)
S (0.665, 0.665, 0.586)
S (0.998, 0.998, 0.237)


DFT (GGA-PBE) results for a relaxed Nd4SmTm3S8 crystal.

## Properties
- symmetry = R-3m (166)

Cell lengths 8.038, 8.038, 8.038 Å; angles 58.73, 58.73, 58.73 degrees
Element x y z (fractional)
Nd (0.000, 0.000, 0.000)
Nd (0.000, 0.500, 0.500)
Nd (0.500, 0.000, 0.500)
Nd (0.500, 0.500, 0.000)
Sm (0.500, 0.500, 0.500)
Tm (0.000, 0.000, 0.500)
Tm (0.000, 0.500, 0.000)
Tm (0.500, 0.000, 0.000)
S (0.236, 0.748, 0.748)
S (0.242, 0.242, 0.242)
S (0.252, 0.252, 0.764)
S (0.252, 0.764, 0.252)
S (0.748, 0.236, 0.748)
S (0.748, 0.748, 0.236)
S (0.758, 0.758, 0.758)
S (0.764, 0.252, 0.252)


DFT (GGA-PBE) results for a relaxed NdSm2US4 crystal.

## Properties
- symmetry = P2/m (10)

Cell lengths 6.929, 3.964, 6.936 Å; angles 90.00, 109.11, 90.00 degrees
Element x y z (fractional)
Nd (0.000, 0.000, 0.000)
Sm (0.500, 0.000, 0.500)
Sm (0.500, 0.500, 0.000)
U (0.000, 0.500, 0.500)
S (0.245, 0.000, 0.742)
S (0.250, 0.500, 0.257)
S (0.750, 0.500, 0.743)
S (0.755, 0.000, 0.258)


DFT (GGA-PBE) results for a relaxed NdSm2US8 crystal.

## Properties
- symmetry = P-1 (2)

Cell lengths 6.048, 6.305, 8.379 Å; angles 89.99, 89.90, 88.94 degrees
Element x y z (fractional)
Nd (0.000, 0.000, 0.000)
Sm (0.499, 0.500, 0.255)
Sm (0.501, 0.500, 0.745)
U (0.000, 0.000, 0.500)
S (0.209, 0.577, 0.000)
S (0.237, 0.658, 0.501)
S (0.245, 0.128, 0.728)
S (0.246, 0.127, 0.271)
S (0.754, 0.873, 0.729)
S (0.755, 0.872, 0.272)
S (0.763, 0.342, 0.499)
S (0.791, 0.423, 0.000)


DFT (GGA-PBE) results for a relaxed Nd3Sm2YS6 crystal.

## Properties
- symmetry = C2/m (12)

Cell lengths 6.967, 6.967, 6.984 Å; angles 99.55, 99.55, 120.16 degrees
Element x y z (fractional)
Nd (0.000, 0.000, 0.000)
Nd (0.331, 0.669, 0.000)
Nd (0.669, 0.331, 0.000)
Sm (0.167, 0.833, 0.500)
Sm (0.833, 0.167, 0.500)
Y (0.500, 0.500, 0.500)
S (0.092, 0.420, 0.259)
S (0.253, 0.253, 0.743)
S (0.420, 0.092, 0.259)
S (0.580, 0.908, 0.741)
S (0.747, 0.747, 0.257)
S (0.908, 0.580, 0.741)


DFT (GGA-PBE) results for a relaxed Nd2SmYS6 crystal.

## Properties
- symmetry = R3 (146)

Cell lengths 7.482, 7.482, 7.482 Å; angles 56.71, 56.71, 56.71 degrees
Element x y z (fractional)
Nd (0.000, 0.000, 0.000)
Nd (0.498, 0.498, 0.498)
Sm (0.206, 0.206, 0.206)
Y (0.704, 0.704, 0.704)
S (0.088, 0.413, 0.814)
S (0.316, 0.904, 0.596)
S (0.413, 0.814, 0.088)
S (0.596, 0.316, 0.904)
S (0.814, 0.088, 0.413)
S (0.904, 0.596, 0.316)


DFT (GGA-PBE) results for a relaxed NdSmY2S4 crystal.

## Properties
- symmetry = P2/m (10)

Cell lengths 6.872, 3.935, 6.968 Å; angles 90.00, 108.92, 90.00 degrees
Element x y z (fractional)
Nd (0.000, 0.000, 0.000)
Sm (0.500, 0.500, 0.000)
Y (0.000, 0.500, 0.500)
Y (0.500, 0.000, 0.500)
S (0.248, 0.000, 0.739)
S (0.257, 0.500, 0.263)
S (0.743, 0.500, 0.737)
S (0.752, 0.000, 0.261)


DFT (GGA-PBE) results for a relaxed NdSm4YS8 crystal.

## Properties
- symmetry = R3m (160)

Cell lengths 8.237, 8.237, 8.237 Å; angles 59.90, 59.90, 59.90 degrees
Element x y z (fractional)
Nd (0.000, 0.000, 0.000)
Sm (0.000, 0.000, 0.503)
Sm (0.000, 0.503, 0.000)
Sm (0.376, 0.376, 0.376)
Sm (0.503, 0.000, 0.000)
Y (0.626, 0.626, 0.626)
S (0.236, 0.754, 0.754)
S (0.243, 0.243, 0.243)
S (0.245, 0.245, 0.773)
S (0.245, 0.773, 0.245)
S (0.754, 0.236, 0.754)
S (0.754, 0.754, 0.236)
S (0.757, 0.757, 0.757)
S (0.773, 0.245, 0.245)


DFT (GGA-PBE) results for a relaxed NdSm2YS6 crystal.

## Properties
- symmetry = R3 (146)

Cell lengths 7.474, 7.474, 7.474 Å; angles 56.54, 56.54, 56.54 degrees
Element x y z (fractional)
Nd (0.000, 0.000, 0.000)
Sm (0.292, 0.292, 0.292)
Sm (0.795, 0.795, 0.795)
Y (0.496, 0.496, 0.496)
S (0.101, 0.688, 0.401)
S (0.202, 0.598, 0.887)
S (0.401, 0.101, 0.688)
S (0.598, 0.887, 0.202)
S (0.688, 0.401, 0.101)
S (0.887, 0.202, 0.598)


DFT (GGA-PBE) results for a relaxed Nd4SmY3S8 crystal.

## Properties
- symmetry = R-3m (166)

Cell lengths 8.050, 8.050, 8.050 Å; angles 59.42, 59.42, 59.42 degrees
Element x y z (fractional)
Nd (0.000, 0.000, 0.000)
Nd (0.000, 0.500, 0.500)
Nd (0.500, 0.000, 0.500)
Nd (0.500, 0.500, 0.000)
Sm (0.500, 0.500, 0.500)
Y (0.000, 0.000, 0.500)
Y (0.000, 0.500, 0.000)
Y (0.500, 0.000, 0.000)
S (0.242, 0.748, 0.748)
S (0.245, 0.245, 0.245)
S (0.252, 0.252, 0.758)
S (0.252, 0.758, 0.252)
S (0.748, 0.242, 0.748)
S (0.748, 0.748, 0.242)
S (0.755, 0.755, 0.755)
S (0.758, 0.252, 0.252)


DFT (GGA-PBE) results for a relaxed Nd3SmY2S6 crystal.

## Properties
- symmetry = C2/m (12)

Cell lengths 6.930, 6.930, 6.975 Å; angles 99.51, 99.51, 120.16 degrees
Element x y z (fractional)
Nd (0.000, 0.000, 0.000)
Nd (0.336, 0.664, 0.000)
Nd (0.664, 0.336, 0.000)
Sm (0.500, 0.500, 0.500)
Y (0.166, 0.834, 0.500)
Y (0.834, 0.166, 0.500)
S (0.082, 0.420, 0.261)
S (0.240, 0.240, 0.737)
S (0.420, 0.082, 0.261)
S (0.580, 0.918, 0.739)
S (0.760, 0.760, 0.263)
S (0.918, 0.580, 0.739)


DFT (GGA-PBE) results for a relaxed Nd2SmY3S6 crystal.

## Properties
- symmetry = C2/m (12)

Cell lengths 8.921, 8.921, 8.032 Å; angles 103.71, 103.71, 25.64 degrees
Element x y z (fractional)
Nd (0.167, 0.167, 0.334)
Nd (0.833, 0.833, 0.666)
Sm (0.500, 0.500, 0.000)
Y (0.167, 0.167, 0.833)
Y (0.500, 0.500, 0.500)
Y (0.833, 0.833, 0.167)
S (0.003, 0.003, 0.746)
S (0.332, 0.332, 0.926)
S (0.337, 0.337, 0.409)
S (0.663, 0.663, 0.591)
S (0.668, 0.668, 0.074)
S (0.997, 0.997, 0.254)


DFT (GGA-PBE) results for a relaxed NdSm4Y3S8 crystal.

## Properties
- symmetry = R-3m (166)

Cell lengths 7.974, 7.974, 7.974 Å; angles 59.91, 59.91, 59.91 degrees
Element x y z (fractional)
Nd (0.000, 0.000, 0.000)
Sm (0.000, 0.000, 0.500)
Sm (0.000, 0.500, 0.000)
Sm (0.500, 0.000, 0.000)
Sm (0.500, 0.500, 0.500)
Y (0.000, 0.500, 0.500)
Y (0.500, 0.000, 0.500)
Y (0.500, 0.500, 0.000)
S (0.252, 0.252, 0.742)
S (0.252, 0.742, 0.252)
S (0.253, 0.253, 0.253)
S (0.258, 0.748, 0.748)
S (0.742, 0.252, 0.252)
S (0.747, 0.747, 0.747)
S (0.748, 0.258, 0.748)
S (0.748, 0.748, 0.258)


DFT (GGA-PBE) results for a relaxed NdSm3Y4S8 crystal.

## Properties
- symmetry = R-3m (166)

Cell lengths 7.975, 7.975, 7.975 Å; angles 59.51, 59.51, 59.51 degrees
Element x y z (fractional)
Nd (0.000, 0.000, 0.000)
Sm (0.000, 0.500, 0.500)
Sm (0.500, 0.000, 0.500)
Sm (0.500, 0.500, 0.000)
Y (0.000, 0.000, 0.500)
Y (0.000, 0.500, 0.000)
Y (0.500, 0.000, 0.000)
Y (0.500, 0.500, 0.500)
S (0.247, 0.247, 0.247)
S (0.249, 0.745, 0.745)
S (0.255, 0.255, 0.751)
S (0.255, 0.751, 0.255)
S (0.745, 0.249, 0.745)
S (0.745, 0.745, 0.249)
S (0.751, 0.255, 0.255)
S (0.753, 0.753, 0.753)


DFT (GGA-PBE) results for a relaxed Nd4Sm3YS8 crystal.

## Properties
- symmetry = R-3m (166)

Cell lengths 8.075, 8.075, 8.075 Å; angles 59.74, 59.74, 59.74 degrees
Element x y z (fractional)
Nd (0.000, 0.000, 0.000)
Nd (0.000, 0.500, 0.500)
Nd (0.500, 0.000, 0.500)
Nd (0.500, 0.500, 0.000)
Sm (0.000, 0.000, 0.500)
Sm (0.000, 0.500, 0.000)
Sm (0.500, 0.000, 0.000)
Y (0.500, 0.500, 0.500)
S (0.248, 0.248, 0.248)
S (0.251, 0.745, 0.745)
S (0.255, 0.255, 0.749)
S (0.255, 0.749, 0.255)
S (0.745, 0.251, 0.745)
S (0.745, 0.745, 0.251)
S (0.749, 0.255, 0.255)
S (0.752, 0.752, 0.752)


DFT (GGA-PBE) results for a relaxed NdSm2YS4 crystal.

## Properties
- symmetry = P2/m (10)

Cell lengths 6.941, 3.967, 6.971 Å; angles 90.00, 109.04, 90.00 degrees
Element x y z (fractional)
Nd (0.000, 0.000, 0.000)
Sm (0.500, 0.000, 0.500)
Sm (0.500, 0.500, 0.000)
Y (0.000, 0.500, 0.500)
S (0.246, 0.000, 0.742)
S (0.251, 0.500, 0.257)
S (0.749, 0.500, 0.743)
S (0.754, 0.000, 0.258)


DFT (GGA-PBE) results for a relaxed NdSm2Y3S6 crystal.

## Properties
- symmetry = C2/m (12)

Cell lengths 6.870, 6.870, 6.912 Å; angles 99.51, 99.51, 120.17 degrees
Element x y z (fractional)
Nd (0.000, 0.000, 0.000)
Sm (0.334, 0.666, 0.000)
Sm (0.666, 0.334, 0.000)
Y (0.165, 0.835, 0.500)
Y (0.500, 0.500, 0.500)
Y (0.835, 0.165, 0.500)
S (0.087, 0.423, 0.261)
S (0.250, 0.250, 0.740)
S (0.423, 0.087, 0.261)
S (0.577, 0.913, 0.739)
S (0.750, 0.750, 0.260)
S (0.913, 0.577, 0.739)


DFT (GGA-PBE) results for a relaxed Nd6SnS5 crystal.

## Properties
- symmetry = C2/m (12)

Cell lengths 7.196, 7.196, 7.212 Å; angles 99.59, 99.59, 120.02 degrees
Element x y z (fractional)
Nd (0.068, 0.414, 0.740)
Nd (0.240, 0.240, 0.257)
Nd (0.414, 0.068, 0.740)
Nd (0.586, 0.932, 0.260)
Nd (0.760, 0.760, 0.743)
Nd (0.932, 0.586, 0.260)
Sn (0.500, 0.500, 0.000)
S (0.000, 0.000, 0.500)
S (0.168, 0.832, 0.000)
S (0.339, 0.661, 0.500)
S (0.661, 0.339, 0.500)
S (0.832, 0.168, 0.000)


DFT (GGA-PBE) results for a relaxed NdSn2S4 crystal.

## Properties
- symmetry = Cmcm (63)

Cell lengths 6.886, 6.886, 13.343 Å; angles 90.00, 90.00, 146.98 degrees
Element x y z (fractional)
Nd (0.114, 0.886, 0.750)
Nd (0.886, 0.114, 0.250)
Sn (0.369, 0.631, 0.566)
Sn (0.369, 0.631, 0.934)
Sn (0.631, 0.369, 0.066)
Sn (0.631, 0.369, 0.434)
S (0.000, 0.000, 0.000)
S (0.000, 0.000, 0.500)
S (0.281, 0.719, 0.123)
S (0.281, 0.719, 0.377)
S (0.461, 0.539, 0.750)
S (0.539, 0.461, 0.250)
S (0.719, 0.281, 0.623)
S (0.719, 0.281, 0.877)


DFT (GGA-PBE) results for a relaxed Nd2SnS6 crystal.

## Properties
- symmetry = P4_2/mnm (136)

Cell lengths 6.365, 6.365, 12.556 Å; angles 90.00, 90.00, 90.00 degrees
Element x y z (fractional)
Nd (0.000, 0.000, 0.168)
Nd (0.000, 0.000, 0.832)
Nd (0.500, 0.500, 0.332)
Nd (0.500, 0.500, 0.668)
Sn (0.000, 0.000, 0.500)
Sn (0.500, 0.500, 0.000)
S (0.189, 0.189, 0.349)
S (0.189, 0.189, 0.651)
S (0.212, 0.212, 0.000)
S (0.288, 0.712, 0.500)
S (0.311, 0.689, 0.151)
S (0.311, 0.689, 0.849)
S (0.689, 0.311, 0.151)
S (0.689, 0.311, 0.849)
S (0.712, 0.288, 0.500)
S (0.788, 0.788, 0.000)
S (0.811, 0.811, 0.349)
S (0.811, 0.811, 0.651)


DOS at the Fermi energy (states/eV per cell)
5.265, 6.703, 9.236, 2.233, 5.265, 0.000, 4.688, 8.454, 0.000, 8.221, 5.340, 5.259, 9.044, 8.728, 8.745, 4.875, 5.317, 4.808, 7.306, 19.987
Formation energy (no corrections) (eV/atom)
-2.005, -1.992, -1.834, -1.477, -2.025, -2.028, -2.012, -1.918, -2.031, -2.013, -2.021, -2.015, -2.008, -2.009, -2.018, -2.012, -2.016, -1.784, -0.925, -0.899